# 1
BaAlF3 | PBE | relaxed

Structure (POSCAR):
```
BaAlF3
1.0
-1.135 0.088 4.358
-3.528 -2.664 -0.865
2.561 -3.632 0.740
F Al Ba
3 1 1
Cartesian
-1.764 -1.332 -0.433 F
1.280 -1.816 0.370 F
-0.568 0.044 2.179 F
0.000 0.000 0.000 Al
-1.051 -3.104 2.117 Ba
```

Summary:
Its space-group type is Pm-3m (221). The value obtained for the relative energy among the computed polymorphs is 0.00 eV per formula unit. The density of states at the Fermi level is 0.0 states/eV/cell. As for the size of the total moment: 0.00 μB per formula unit. Its calculated volume is 18.28 Å³ per atom. The calculation puts the uncorrected formation energy at -2536 meV/atom. For the energy, the calculation gives -4.792 eV/atom.

---

# 2
Tm3ScHg | PBE | relaxed

Structure (POSCAR):
```
Tm3ScHg
1.0
-4.553 -4.507 -0.824
5.998 -2.396 0.116
1.419 3.140 7.761
Tm Sc Hg
6 2 2
Cartesian
2.340 -5.039 0.571 Tm
1.613 -1.566 0.927 Tm
1.249 -2.197 6.126 Tm
-0.710 -3.934 1.428 Tm
0.523 1.275 6.482 Tm
3.573 0.170 5.625 Tm
-1.687 -0.888 5.214 Sc
4.549 -2.876 1.839 Sc
1.919 -3.582 3.357 Hg
0.944 -0.182 3.696 Hg
```

Summary:
Its space-group type is C2/m (12). The density of states at the Fermi level is 12.1 states/eV/cell. As for the size of the total moment: 0.00 μB per formula unit. Its calculated volume is 27.71 Å³ per atom. For the energy, the calculation gives -4.119 eV/atom. Its formation enthalpy at 0 K is -0.1098 eV/atom.